A plane-wave DFT calculation with PBE was carried out for a relaxed Sb2As3 crystal.

```
Sb2As3
1.0
0.000 10.127 2.009
6.809 0.000 2.009
6.809 10.127 0.000
Sb As
4 6
direct
0.003 0.497 0.218 Sb
0.032 0.968 0.247 Sb
0.497 0.003 0.282 Sb
0.968 0.032 0.753 Sb
0.033 0.033 0.467 As
0.400 0.595 0.705 As
0.545 0.951 0.850 As
0.595 0.400 0.299 As
0.783 0.783 0.217 As
0.951 0.545 0.655 As
```

Formation energy from raw total energies = 0.212 eV/atom
Total magnetic moment = 0.0 Bohr magnetons per cell